Record 1
Below is a geometry-optimized K2TiSb2S6 structure, with properties calculated at the PBE level.

Lattice parameters (Å, degrees): 6.763 11.530 7.837 90.00 107.56 90.00
Space group C2/m (No. 12)
Inequivalent atoms, fractional coordinates:
K 0.000 0.172 0.000 [4 per cell]
Ti 0.000 0.000 0.500 [2 per cell]
Sb 0.000 0.332 0.500 [4 per cell]
S 0.220 0.154 0.690 [8 per cell]
S 0.234 0.000 0.312 [4 per cell]

VASP energy	-4.7970	eV per atom
formation energy (no corrections)	-933	kJ/mol of formula units

---

Record 2
Below is a geometry-optimized Nb2Pd5Ru structure, with properties calculated at the PBE level.

Lattice parameters (Å, degrees): 5.656 11.296 3.900 90.00 90.00 90.00
Space group Pbam (No. 55)
Inequivalent atoms, fractional coordinates:
Nb 0.225 0.117 0.000 [4 per cell]
Pd 0.000 0.500 0.500 [2 per cell]
Pd 0.020 0.749 0.500 [4 per cell]
Pd 0.238 0.373 0.000 [4 per cell]
Ru 0.000 0.000 0.500 [2 per cell]

VASP energy	-7.2724	eV per atom
energy relative to the elements	-0.350	eV per atom

---

Record 3
Below is a geometry-optimized Tb2ThCo structure, with properties calculated at the PBE level.

Lattice parameters (Å, degrees): 5.3211 5.3211 12.1178 90.00 90.00 120.00
Space group R-3m (No. 166, hexagonal axes)
Inequivalent atoms, fractional coordinates:
Tb 0.0000 0.0000 0.2405 [6 per cell]
Th 0.0000 0.0000 0.5000 [3 per cell]
Co 0.0000 0.0000 0.0000 [3 per cell]

VASP energy	-5.4937	eV per atom
distance to the lowest polymorph of the same formula	0.6432	eV per atom
energy relative to the elements	0.453	eV per atom

---

Record 4
Below is a geometry-optimized MnNbPCl2 structure, with properties calculated at the PBE level.

Lattice parameters (Å, degrees): 4.846 4.846 5.009 90.00 90.00 90.00
Space group P4/mmm (No. 123)
Inequivalent atoms, fractional coordinates:
Mn 0.000 0.000 0.000 [1 per cell]
Nb 0.500 0.500 0.500 [1 per cell]
P 0.500 0.500 0.000 [1 per cell]
Cl 0.000 0.500 0.500 [2 per cell]

VASP energy	-5.5955	eV per atom
distance to the lowest polymorph of the same formula	0.0000	eV per atom
formation energy (no corrections)	35	kJ/mol of formula units

---

Record 5
Below is a geometry-optimized Sm7Tl2Au2 structure, with properties calculated at the PBE level.

Lattice parameters (Å, degrees): 8.403 11.434 7.344 90.00 90.00 90.00
Space group Cmmm (No. 65)
Inequivalent atoms, fractional coordinates:
Sm 0.000 0.000 0.000 [2 per cell]
Sm 0.000 0.500 0.251 [4 per cell]
Sm 0.250 0.250 0.263 [8 per cell]
Tl 0.176 0.000 0.500 [4 per cell]
Au 0.000 0.290 0.000 [4 per cell]

VASP energy	-4.2777	eV per atom
energy relative to the elements	-0.249	eV per atom

---

Record 6
Below is a geometry-optimized HoAl10Ru2 structure, with properties calculated at the PBE level.

Lattice parameters (Å, degrees): 9.093 10.225 9.140 90.00 90.00 90.00
Space group Cmcm (No. 63)
Inequivalent atoms, fractional coordinates:
Ho 0.000 0.128 0.250 [4 per cell]
Al 0.000 0.156 0.600 [8 per cell]
Al 0.000 0.377 0.048 [8 per cell]
Al 0.151 0.370 0.750 [8 per cell]
Al 0.222 0.365 0.250 [8 per cell]
Al 0.225 0.000 0.000 [8 per cell]
Ru 0.250 0.250 0.000 [8 per cell]

VASP energy	-5.1759	eV per atom
energy relative to the elements	-0.518	eV per atom

---

Q: The lowest VASP energy belongs to which entry?
A: Nb2Pd5Ru

---

Q: Which value of VASP energy does entry 6 give?
A: -5.1759 eV per atom

---

Q: Which value of VASP energy does entry 6 give?
A: -5.1759 eV per atom

---

Q: Which value of VASP energy does entry 4 give?
A: -5.5955 eV per atom